Record 1
This record from the Alexandria database describes crystalline ScTa2Cu2 at its relaxed geometry. The functional is GGA-PBE.

Properties
Symmetry: I4/mmm (139)
Energy relative to the lowest polymorph listed for this composition: 342.4 meV/atom
E_tot: -35.6 eV per cell

```
ScTa2Cu2
1.0
-1.951 1.951 6.036
1.951 -1.951 6.036
1.951 1.951 -6.036
Sc Ta Cu
1 2 2
Cartesian
0.000 0.000 0.000
0.000 0.000 4.697
0.000 0.000 7.374
1.951 0.000 3.018
0.000 1.951 3.018
```

---

Record 2
This record from the Alexandria database describes crystalline ScTa3Cu at its relaxed geometry. The functional is GGA-PBE.

Properties
Symmetry: Pm-3m (221)
Energy relative to the lowest polymorph listed for this composition: 1063.2 meV/atom
E_tot: -35.6 eV per cell

```
ScTa3Cu
1.0
4.718 0.000 0.000
0.000 4.718 0.000
0.000 0.000 4.718
Sc Ta Cu
1 3 1
Cartesian
0.000 0.000 0.000
0.000 0.000 2.359
0.000 2.359 0.000
2.359 0.000 0.000
2.359 2.359 2.359
```

---

Record 3
This record from the Alexandria database describes crystalline ScTaCu2 at its relaxed geometry. The functional is GGA-PBE.

Properties
Symmetry: R-3m (166)
Energy relative to the lowest polymorph listed for this composition: 250.4 meV/atom
E_tot: -25.4 eV per cell

```
ScTaCu2
1.0
1.441 0.832 9.134
-1.441 0.832 9.134
0.000 -1.664 9.134
Sc Ta Cu
1 1 2
Cartesian
0.000 0.000 0.000
0.000 0.000 13.702
0.000 0.000 6.826
0.000 0.000 20.577
```

---

Record 4
This record from the Alexandria database describes crystalline ScTaCu2 at its relaxed geometry. The functional is GGA-PBE.

Properties
Symmetry: P4mm (99)
Energy relative to the lowest polymorph listed for this composition: 0.0 meV/atom
E_tot: -26.4 eV per cell

```
ScTaCu2
1.0
3.152 0.000 0.000
0.000 3.152 0.000
0.000 0.000 6.465
Sc Ta Cu
1 1 2
Cartesian
0.000 0.000 0.000
1.576 1.576 2.005
0.000 0.000 3.546
1.576 1.576 4.789
```

---

Question: Look up the E_tot of the second one.
Answer: -35.6 eV per cell